PBE Ca3CdHg12, optimized geometry; DOS(E_F) = 4.5 states/eV/f.u.; total energy = -0.95 eV/atom; SG = P4/mmm (123)
1.0
4.704 0.000 0.000
0.000 4.704 0.000
0.000 0.000 18.593
Ca Cd Hg
3 1 12
Direct
0.000 0.000 0.245
0.000 0.000 0.500
0.000 0.000 0.755
0.000 0.000 0.000
0.500 0.500 0.000
0.500 0.500 0.251
0.500 0.500 0.500
0.500 0.500 0.749
0.500 0.000 0.122
0.500 0.000 0.374
0.500 0.000 0.626
0.500 0.000 0.878
0.000 0.500 0.122
0.000 0.500 0.374
0.000 0.500 0.626
0.000 0.500 0.878

---

PBE Ce3TcOs, optimized geometry; DOS(E_F) = 8.1 states/eV/f.u.; offset from the most stable computed form = 0.000 eV per atom; SG = C2/m (12)
1.0
4.496 0.000 0.000
-2.248 5.532 -1.853
0.000 -1.068 9.067
Ce Tc Os
6 2 2
Direct
0.097 0.195 0.380
0.903 0.805 0.620
0.470 0.940 0.155
0.530 0.060 0.845
0.238 0.477 0.780
0.762 0.523 0.220
0.855 0.711 0.927
0.145 0.289 0.073
0.629 0.258 0.597
0.371 0.742 0.403

---

PBE CaCr2Fe2, optimized geometry; DOS(E_F) = 6.7 states/eV/f.u.; offset from the most stable computed form = 0.173 eV per atom; SG = P4/mbm (127)
1.0
-4.433 3.793 4.503
-4.817 0.905 -5.504
-1.237 -2.285 0.707
Cr Ca Fe
4 2 4
Direct
0.146 0.646 0.500
0.646 0.854 0.500
0.854 0.354 0.500
0.354 0.146 0.500
0.000 0.000 0.000
0.500 0.500 0.000
0.365 0.865 0.000
0.865 0.635 0.000
0.635 0.135 0.000
0.135 0.365 0.000

---

PBE Ba2ZnHg3Pb4, optimized geometry; DOS(E_F) = 2.7 states/eV/f.u.; total energy = -2.38 eV/atom; SG = P-4m2 (115)
1.0
-0.025 -2.923 -4.123
3.576 -2.924 2.051
-8.869 -7.219 5.173
Ba Zn Hg Pb
2 1 3 4
Direct
0.500 0.000 0.266
0.000 0.500 0.734
0.500 0.500 0.500
0.000 0.000 0.500
0.500 0.000 0.856
0.000 0.500 0.144
0.500 0.500 0.000
0.000 0.000 0.000
0.500 0.000 0.623
0.000 0.500 0.377

---

PBE KBeCdF6, optimized geometry; DOS(E_F) = 5.8 states/eV/f.u.; ΔE_f (raw) = -2.34 eV per atom; SG = P312 (149)
1.0
-0.422 4.893 2.137
-3.226 3.635 -2.250
-4.261 -1.780 3.234
K Be Cd F
1 1 1 6
Direct
0.000 0.000 0.000
0.333 0.333 0.500
0.667 0.667 0.500
0.059 0.349 0.314
0.348 0.059 0.686
0.593 0.348 0.686
0.059 0.593 0.686
0.348 0.593 0.314
0.593 0.059 0.314

---

PBE Ta3VFe2, optimized geometry; DOS(E_F) = 5.3 states/eV/f.u.; total energy = -10.39 eV/atom; SG = P4/mmm (123)
1.0
3.098 0.000 0.000
0.000 3.098 0.000
0.000 0.000 9.269
Ta V Fe
3 1 2
Direct
0.000 0.000 0.000
0.000 0.000 0.671
0.000 0.000 0.329
0.500 0.500 0.500
0.500 0.500 0.840
0.500 0.500 0.160

---

PBE PaV2Os, optimized geometry; DOS(E_F) = 3.6 states/eV/f.u.; offset from the most stable computed form = 0.188 eV per atom; SG = P4/mmm (123)
1.0
3.184 0.000 0.000
0.000 3.184 0.000
0.000 0.000 6.411
Pa Os V
1 1 2
Direct
0.500 0.500 0.000
0.500 0.500 0.500
0.000 0.000 0.733
0.000 0.000 0.267

---

PBE Ba2HfOs, optimized geometry; DOS(E_F) = 4.9 states/eV/f.u.; offset from the most stable computed form = 0.199 eV per atom; SG = Imm2 (44)
1.0
3.773 0.000 0.000
0.000 5.952 0.000
0.000 0.000 11.968
Hf Os Ba
2 2 4
Direct
0.000 0.500 0.179
0.500 0.000 0.679
0.000 0.000 0.816
0.500 0.500 0.316
0.000 0.000 0.358
0.500 0.500 0.858
0.000 0.500 0.550
0.500 0.000 0.050

---

PBE MnCd5, optimized geometry; DOS(E_F) = 2.5 states/eV/f.u.; offset from the most stable computed form = 0.021 eV per atom; SG = Amm2 (38)
1.0
-1.946 5.794 -5.431
1.200 -3.301 7.383
4.555 1.439 -0.097
Mn Cd
1 5
Direct
0.887 0.113 0.500
0.997 0.003 0.000
0.667 0.333 0.000
0.340 0.660 0.000
0.545 0.455 0.500
0.231 0.769 0.500

---

PBE Sc6Tl2H, optimized geometry; DOS(E_F) = 8.4 states/eV/f.u.; total energy = -5.33 eV/atom; SG = P2_1/c (14)
1.0
6.169 0.000 0.321
0.000 6.175 0.000
-0.386 0.000 10.018
Sc Tl H
12 4 2
Direct
0.923 0.039 0.245
0.820 0.690 0.514
0.820 0.688 0.988
0.680 0.188 0.512
0.680 0.190 0.986
0.577 0.539 0.255
0.077 0.961 0.755
0.180 0.310 0.486
0.180 0.312 0.012
0.320 0.812 0.488
0.320 0.810 0.014
0.423 0.461 0.745
0.935 0.425 0.749
0.565 0.925 0.751
0.435 0.075 0.249
0.065 0.575 0.251
0.500 0.500 0.000
0.000 0.000 0.500

---

PBE Pa4SeS5, optimized geometry; DOS(E_F) = 13.3 states/eV/f.u.; ΔE_f (raw) = -1.50 eV per atom; SG = C2/m (12)
1.0
-1.531 0.717 3.514
5.549 -4.712 3.379
4.287 7.422 -1.812
Pa Se S
4 1 5
Direct
0.329 0.907 0.658
0.002 0.743 0.003
0.671 0.093 0.342
0.998 0.257 0.997
0.500 0.000 0.000
0.838 0.676 0.675
0.834 0.159 0.667
0.166 0.841 0.333
0.500 0.500 0.000
0.162 0.324 0.325

---

PBE SmTeC, optimized geometry; DOS(E_F) = 0.1 states/eV/f.u.; ΔE_f (raw) = -0.59 eV per atom; SG = C2/m (12)
1.0
3.928 0.000 0.000
-1.964 7.539 -0.454
0.000 -5.516 5.851
Sm Te C
2 2 2
Direct
0.036 0.072 0.777
0.964 0.928 0.223
0.327 0.654 0.308
0.673 0.346 0.692
0.520 0.040 0.953
0.480 0.960 0.047

---

PBE Pa2F13, optimized geometry; ΔE_f (raw) = -2.92 eV per atom; offset from the most stable computed form = 0.021 eV per atom; SG = P-1 (2)
1.0
-4.719 -2.545 0.251
3.637 -4.621 -3.066
-0.264 1.001 7.803
Pa F
2 13
Direct
0.806 0.767 0.667
0.194 0.233 0.333
0.630 0.557 0.037
0.370 0.443 0.963
0.000 0.000 0.000
0.134 0.951 0.641
0.866 0.049 0.359
0.047 0.522 0.664
0.953 0.478 0.336
0.475 0.597 0.410
0.525 0.403 0.590
0.498 0.823 0.887
0.502 0.177 0.113
0.686 0.069 0.721
0.314 0.931 0.279

---

PBE SbMo2Cl, optimized geometry; DOS(E_F) = 5.6 states/eV/f.u.; ΔE_f (raw) = 0.84 eV per atom; offset from the most stable computed form = 0.935 eV per atom; SG = F-43m (216)
1.0
-1.233 -2.325 -3.901
1.683 -4.322 -0.794
-2.857 -3.727 0.287
Cl Mo Sb
1 2 1
Direct
0.500 0.500 0.500
0.000 0.000 0.000
0.250 0.250 0.250
0.750 0.750 0.750

---

PBE K3ErSb2Te6, optimized geometry; ΔE_f (raw) = -0.81 eV per atom; SG = C2/m (12)
1.0
7.811 -0.001 0.001
-3.904 6.765 0.001
-1.302 -2.254 8.241
K Er Sb Te
3 1 2 6
Direct
0.169 0.831 0.500
0.831 0.169 0.500
0.500 0.500 0.500
0.000 0.000 0.000
0.334 0.666 0.000
0.666 0.334 0.000
0.932 0.600 0.795
0.737 0.737 0.206
0.068 0.400 0.205
0.600 0.932 0.795
0.263 0.263 0.794
0.400 0.068 0.205

---

PBE GdZnNiHg, optimized geometry; DOS(E_F) = 3.3 states/eV/f.u.; total energy = -5.56 eV/atom; SG = F-43m (216)
1.0
4.744 0.000 0.000
2.372 4.108 0.000
2.372 1.369 3.873
Ni Zn Gd Hg
1 1 1 1
Direct
0.250 0.250 0.250
0.750 0.750 0.750
0.000 0.000 0.000
0.500 0.500 0.500

---

PBE La2TaBr, optimized geometry; DOS(E_F) = 6.0 states/eV/f.u.; ΔE_f (raw) = -0.14 eV per atom; offset from the most stable computed form = 0.130 eV per atom; SG = R-3m (166)
1.0
-9.979 0.697 2.656
-8.506 0.382 5.884
-8.699 3.576 4.319
La Br Ta
2 1 1
Direct
0.999 0.999 0.999
0.501 0.501 0.501
0.750 0.750 0.750
0.250 0.250 0.250

---

PBE Na2AcHoS4, optimized geometry; DOS(E_F) = 0.0 states/eV/f.u.; ΔE_f (raw) = -1.81 eV per atom; SG = P2/m (10)
1.0
4.165 0.000 0.000
0.000 7.244 0.121
0.000 -2.529 6.657
Na Ac Ho S
2 1 1 4
Direct
0.500 0.000 0.500
0.000 0.500 0.500
0.000 0.000 0.000
0.500 0.500 0.000
0.500 0.266 0.236
0.500 0.734 0.764
0.000 0.274 0.772
0.000 0.726 0.228

---

PBE Mo2As2Se, optimized geometry; DOS(E_F) = 4.6 states/eV/f.u.; ΔE_f (raw) = 0.01 eV per atom; offset from the most stable computed form = 0.000 eV per atom; SG = P4/mbm (127)
1.0
7.258 0.000 0.000
0.000 7.258 0.000
0.000 0.000 3.218
Mo As Se
4 4 2
Direct
0.353 0.853 0.000
0.853 0.647 0.000
0.647 0.147 0.000
0.147 0.353 0.000
0.141 0.641 0.500
0.641 0.859 0.500
0.859 0.359 0.500
0.359 0.141 0.500
0.000 0.000 0.000
0.500 0.500 0.000

---

PBE K2Rh, optimized geometry; DOS(E_F) = 2.3 states/eV/f.u.; offset from the most stable computed form = 0.113 eV per atom; SG = I4/mcm (140)
1.0
5.630 -1.495 -3.262
-2.533 -1.504 5.991
-4.265 -3.492 -3.766
K Rh
4 2
Direct
0.669 0.831 0.500
0.331 0.169 0.500
0.831 0.331 0.162
0.169 0.669 0.838
0.250 0.250 0.000
0.750 0.750 0.000

---

PBE Y2GaPPt6, optimized geometry; DOS(E_F) = 5.4 states/eV/f.u.; total energy = -6.66 eV/atom; SG = Pmmn (59)
1.0
5.555 0.000 0.000
0.000 8.161 0.000
0.000 0.000 8.556
Y Ga P Pt
4 2 2 12
Direct
0.500 0.731 0.265
0.000 0.269 0.765
0.500 0.731 0.735
0.000 0.269 0.235
0.000 0.717 0.500
0.500 0.283 0.000
0.500 0.240 0.500
0.000 0.760 0.000
0.500 0.119 0.254
0.500 0.119 0.746
0.000 0.881 0.246
0.000 0.881 0.754
0.250 0.983 0.500
0.750 0.983 0.500
0.248 0.465 0.500
0.752 0.465 0.500
0.748 0.535 0.000
0.252 0.535 0.000
0.250 0.017 0.000
0.750 0.017 0.000

---

PBE Nd2SbRh, optimized geometry; DOS(E_F) = 1.2 states/eV/f.u.; ΔE_f (raw) = -0.73 eV per atom; SG = R-3m (166)
1.0
4.320 0.000 0.000
2.160 3.742 0.000
2.160 1.247 7.136
Sb Nd Rh
1 2 1
Direct
0.500 0.500 0.500
0.259 0.259 0.222
0.741 0.741 0.778
0.000 0.000 0.000

---

PBE Zr3ReW, optimized geometry; DOS(E_F) = 6.8 states/eV/f.u.; offset from the most stable computed form = 0.245 eV per atom; SG = Pm-3m (221)
1.0
4.962 0.000 0.000
0.000 4.962 0.000
0.000 0.000 4.962
Re Zr W
1 3 1
Direct
0.500 0.500 0.500
0.000 0.500 0.000
0.000 0.000 0.500
0.500 0.000 0.000
0.000 0.000 0.000